# CeNiIr4

A relaxed CeNiIr4 crystal (PBE, Alexandria via LeMat-Bulk).

## Properties
V: 16.40 Å³/atom
DFT formation energy: -0.22 eV per atom
M_tot: 0.00 μB per cell
D(E_F): 15.44 states/eV/cell

a b c (Å): 3.9576 6.4708 7.6857
angles (deg): 90.00 90.00 90.00
Fractional positions:
Ir: 0.5000 0.0326 0.2500
Ir: 0.0000 0.0000 0.5000
Ir: 0.5000 0.7027 0.0350
Ir: 0.5000 0.7027 0.4650
Ir: 0.5000 0.2973 0.5350
Ir: 0.0000 0.0000 0.0000
Ir: 0.5000 0.2973 0.9650
Ir: 0.5000 0.9674 0.7500
Ni: 0.0000 0.2424 0.7500
Ni: 0.0000 0.7576 0.2500
Ce: 0.0000 0.3695 0.2500
Ce: 0.0000 0.6305 0.7500